{"formula": "CoSn3", "functional": "PBE", "state": "optimized geometry", "cell": [[4.476, 0.000, 0.000], [0.000, 4.476, 0.000], [0.000, 0.000, 4.476]], "species": ["Co", "Sn", "Sn", "Sn"], "fractional_positions": [[0.000, 0.000, 0.000], [0.500, 0.500, 0.000], [0.500, 0.000, 0.500], [0.000, 0.500, 0.500]], "dft_energy_ev_per_cell": -17.37}